No. 1
Entry from Alexandria: crystalline RbInHg2 at its relaxed geometry (GGA-PBE).

The structure in extended XYZ format:
```
4
Lattice="5.524 0.000 0.000 0.000 5.524 0.000 0.000 0.000 4.305" Properties=species:S:1:pos:R:3 pbc="T T T"
Rb 0.000 0.000 0.000
In 2.762 2.762 0.000
Hg 0.000 2.762 2.153
Hg 2.762 0.000 2.153
```

=====

No. 2
Entry from Alexandria: crystalline K2YRe at its relaxed geometry (GGA-PBE).

Offset from the most stable computed form in meV per atom: 578

The structure in extended XYZ format:
```
4
Lattice="-2.731 2.731 3.871 2.731 -2.731 3.871 2.731 2.731 -3.871" Properties=species:S:1:pos:R:3 pbc="T T T"
K 0.000 0.000 0.000
K 0.000 2.731 1.936
Y 0.000 0.000 3.871
Re 2.731 0.000 1.936
```

=====

Listing theoretical density for the structures above in their given order: 7.60; 5.08 g/cm³.
Listing ΔE_f for the structures above in their given order: -0.06; 1.36 eV/atom.
Listing density of states at the Fermi level for the structures above in their given order: 0.77; 1.60 states/eV/atom.